(1)
PBE LaPt3, relaxed; size of the total moment = 0.000 μB per atom; DFT formation energy = -0.801 eV/atom; V = 153.1 Å³ per cell
1.0
-2.1148 2.1148 8.5554
2.1148 -2.1148 8.5554
2.1148 2.1148 -8.5554
Pt La
6 2
Direct
0.8771 0.8771 0.0000 Pt
0.5000 0.0000 0.5000 Pt
0.1229 0.1229 0.0000 Pt
0.2500 0.7500 0.5000 Pt
0.0000 0.5000 0.5000 Pt
0.7500 0.2500 0.5000 Pt
0.6246 0.6246 0.0000 La
0.3754 0.3754 0.0000 La

=====

(2)
PBE ScCl, relaxed; size of the total moment = 0.001 μB per atom; formation energy from raw total energies = -858 meV/atom; V = 36.9 Å³ per cell
1.0
3.7380 0.0000 0.0000
1.8690 3.2372 0.0000
1.8690 1.0791 3.0521
Sc Cl
1 1
Direct
0.5000 0.5000 0.5000 Sc
0.0000 0.0000 0.0000 Cl

=====

(3)
PBE Th2As4RuRh3, relaxed; size of the total moment = 0.000 μB per atom; DFT formation energy = -0.912 eV/atom; V = 184.6 Å³ per cell
1.0
4.3011 0.0000 0.0000
0.0000 4.3011 0.0000
0.0000 0.0000 9.9802
As Rh Th Ru
4 3 2 1
Direct
0.5000 0.0000 0.6355 As
0.0000 0.5000 0.3645 As
0.5000 0.5000 0.0000 As
0.0000 0.0000 0.0000 As
0.0000 0.0000 0.5000 Rh
0.0000 0.5000 0.1209 Rh
0.5000 0.0000 0.8791 Rh
0.0000 0.5000 0.7496 Th
0.5000 0.0000 0.2504 Th
0.5000 0.5000 0.5000 Ru

=====

(4)
PBE YTh4Sc4, relaxed; size of the total moment = 0.000 μB per atom; DFT formation energy = 0.053 eV/atom; V = 259.8 Å³ per cell
1.0
-1.9473 -4.4032 0.4811
3.6564 -3.6492 5.7326
-5.8276 0.4692 5.0366
Sc Th Y
4 4 1
Direct
0.0000 0.6612 0.3388 Sc
0.6612 0.3388 0.3388 Sc
0.3388 0.6612 0.6612 Sc
0.0000 0.3388 0.6612 Sc
0.6690 0.6619 0.0000 Th
0.6690 0.0000 0.6619 Th
0.3310 0.0000 0.3381 Th
0.3310 0.3381 0.0000 Th
0.0000 0.0000 0.0000 Y

=====

(5)
PBE SrLa2In, relaxed; size of the total moment = 0.000 μB per atom; DFT formation energy = -0.168 eV/atom; V = 145.8 Å³ per cell
1.0
3.8717 0.0000 0.0000
0.0000 4.6662 0.0000
0.0000 0.0000 8.0690
La Sr In
2 1 1
Direct
0.0000 0.0000 0.9468 La
0.0000 0.0000 0.5532 La
0.5000 0.5000 0.2500 Sr
0.5000 0.5000 0.7500 In

=====

(6)
PBE Ge2RhAu2, relaxed; energy relative to the lowest polymorph listed for this composition = 0.3487 eV per atom; size of the total moment = 0.000 μB per atom; DFT formation energy = 0.380 eV/atom; V = 92.2 Å³ per cell
1.0
-1.7552 2.8445 1.6802
-2.7373 -2.3175 1.0637
1.0098 -1.0221 6.9499
Au Ge Rh
2 2 1
Direct
0.6012 0.6012 0.7977 Au
0.3988 0.3988 0.2023 Au
0.2500 0.7500 0.5000 Ge
0.7500 0.2500 0.5000 Ge
0.0000 0.0000 0.0000 Rh

=====

(7)
PBE In2SiAs, relaxed; energy relative to the lowest polymorph listed for this composition = 0.2112 eV per atom; size of the total moment = 0.000 μB per atom; formation energy from raw total energies = 348 meV/atom; V = 90.1 Å³ per cell
1.0
-2.4423 -1.6621 -4.4069
-4.1037 -2.6465 2.0746
1.7159 5.0139 0.2537
As In Si
1 2 1
Direct
0.2500 0.7500 0.5000 As
0.5052 0.5052 0.0000 In
0.9948 0.9948 0.0000 In
0.7500 0.2500 0.5000 Si

=====

(8)
PBE Rb3Cd4In2, relaxed; size of the total moment = 0.000 μB per atom; DFT formation energy = -0.078 eV/atom; V = 337.9 Å³ per cell
1.0
5.0946 -0.0021 -0.0170
2.5423 6.7618 0.2083
2.5116 2.9141 9.8923
Cd Rb In
4 3 2
Direct
0.2651 0.4011 0.0681 Cd
0.0893 0.4615 0.3629 Cd
0.9107 0.5385 0.6371 Cd
0.7349 0.5989 0.9319 Cd
0.6195 0.1289 0.6315 Rb
0.3805 0.8711 0.3685 Rb
0.0000 0.0000 0.0000 Rb
0.3020 0.6342 0.7613 In
0.6980 0.3658 0.2387 In

=====

(9)
PBE NbZnCuAs2, relaxed; size of the total moment = 0.411 μB per atom; DFT formation energy = 0.700 eV/atom; V = 96.8 Å³ per cell
1.0
-4.5594 -0.5069 -1.0178
0.1369 -4.1373 1.4472
-1.1276 1.4728 4.3175
Nb Cu As Zn
1 1 2 1
Direct
0.5000 0.5000 0.5000 Nb
0.0000 0.0000 0.0000 Cu
0.5000 0.0000 0.0000 As
0.0000 0.0000 0.5000 As
0.0000 0.5000 0.0000 Zn

=====

(10)
PBE Lu2InFe, relaxed; energy relative to the lowest polymorph listed for this composition = 0.0000 eV per atom; size of the total moment = 0.000 μB per atom; DFT formation energy = -0.230 eV/atom; V = 85.6 Å³ per cell
1.0
-1.0613 1.5185 -2.7006
-1.6495 -2.6934 -0.8663
-6.3907 2.6303 3.9905
Lu Fe In
2 1 1
Direct
0.0000 0.0000 0.1973 Lu
0.0000 0.0000 0.8027 Lu
0.5000 0.5000 0.0000 Fe
0.5000 0.5000 0.5000 In

=====

(11)
PBE PmCu5Ni2, relaxed; size of the total moment = 0.000 μB per atom; DFT formation energy = -0.042 eV/atom; V = 116.6 Å³ per cell
1.0
3.7607 0.0000 0.0000
1.8804 5.6254 0.0451
1.8804 1.0779 5.5214
Cu Pm Ni
5 1 2
Direct
0.6524 0.5250 0.1703 Cu
0.3476 0.8297 0.4750 Cu
0.6524 0.1703 0.5250 Cu
0.0000 0.5000 0.5000 Cu
0.3476 0.4750 0.8297 Cu
0.0000 0.0000 0.0000 Pm
0.2692 0.2308 0.2308 Ni
0.7308 0.7692 0.7692 Ni

=====

(12)
PBE Nd3AsPb, relaxed; size of the total moment = 0.121 μB per atom; DFT formation energy = -0.858 eV/atom; V = 618.8 Å³ per cell
1.0
-4.0565 1.7660 -0.4270
-1.5233 -1.4297 8.5583
5.8536 14.2737 3.4264
As Nd Pb
4 12 4
Direct
0.2500 0.8180 0.5549 As
0.2500 0.3180 0.9451 As
0.7500 0.1820 0.4451 As
0.7500 0.6820 0.0549 As
0.7500 0.6515 0.4747 Nd
0.7500 0.1515 0.0253 Nd
0.7500 0.5205 0.8919 Nd
0.2500 0.8485 0.9747 Nd
0.7500 0.0205 0.6081 Nd
0.2500 0.6768 0.7171 Nd
0.2500 0.3485 0.5253 Nd
0.7500 0.3232 0.2829 Nd
0.2500 0.1768 0.7829 Nd
0.7500 0.8232 0.2171 Nd
0.2500 0.4795 0.1081 Nd
0.2500 0.9795 0.3919 Nd
0.2500 0.5998 0.3175 Pb
0.2500 0.0998 0.1825 Pb
0.7500 0.4002 0.6825 Pb
0.7500 0.9002 0.8175 Pb

=====

Question: size of the total moment of number 5 (SrLa2In)?
Answer: 0.000 μB per atom